15
Lattice="4.2286 2.4414 8.1004 -4.2286 2.4414 8.1004 0.0000 -4.8828 8.1004" Properties=species:S:1:pos:R:3 comment="Rb3DyNp3Se8, relaxed, DFT PBE" volume_a3_per_atom=33.452 raw_formation_energy_kj_per_mol_fu=-1971.6 rho_g_cm3=5.8 pbc="T T T"
Rb -2.1143 -1.2207 8.1004
Rb -2.1143 1.2207 16.2008
Rb 0.0000 2.4414 8.1004
Dy 0.0000 0.0000 12.1506
Np -4.2286 0.0000 12.1506
Np -2.1143 1.2207 4.0502
Np 2.1143 1.2207 4.0502
Se -2.1192 -1.2235 13.7018
Se 0.0000 0.0000 5.6162
Se 0.0000 -2.4471 10.5994
Se -2.1192 1.2235 10.5994
Se 2.1192 -1.2235 13.7018
Se 0.0000 2.4471 13.7018
Se 0.0000 0.0000 18.6850
Se 2.1192 1.2235 10.5994

11
Lattice="6.8264 0.0000 0.0000 0.0000 2.9277 0.0000 -0.6548 0.0000 9.0899" Properties=species:S:1:pos:R:3 comment="Al2Zn5Ag4, relaxed, DFT PBE" volume_a3_per_atom=16.515 rho_g_cm3=7.4 formation_energy_ev_per_fu=0.11 polymorph_energy_mev_per_atom=0.0 pbc="T T T"
Al 0.3239 0.0000 1.2907
Al 5.8476 0.0000 7.7992
Zn 0.9470 0.0000 5.9814
Zn 2.9147 0.0000 1.8992
Zn 3.0858 0.0000 4.5449
Zn 3.2568 0.0000 7.1907
Zn 5.2245 0.0000 3.1085
Ag 0.8512 1.4639 3.5557
Ag 1.3235 1.4639 8.6212
Ag 4.8480 1.4639 0.4687
Ag 5.3204 1.4639 5.5342